Entry 1:
First-principles (PBE) data for a relaxed SrSnTe2 crystal, as listed in Alexandria via LeMat-Bulk.

Unit cell a=4.9008 b=6.6189 c=19.6630 alpha=90.00 beta=90.00 gamma=90.00
Atoms (fractional coordinates):
Te1 0.2500 0.2809 0.6742
Te2 0.2500 0.2457 0.4395
Te3 0.7500 0.7543 0.5605
Te4 0.2500 0.7809 0.8258
Te5 0.7500 0.2191 0.1742
Te6 0.7500 0.7191 0.3258
Te7 0.2500 0.7457 0.0605
Te8 0.7500 0.2543 0.9395
Sn1 0.2500 0.2326 0.8336
Sn2 0.7500 0.7674 0.1664
Sn3 0.2500 0.7326 0.6664
Sn4 0.7500 0.2674 0.3336
Sr1 0.7500 0.7564 0.9371
Sr2 0.7500 0.2564 0.5629
Sr3 0.2500 0.2436 0.0629
Sr4 0.2500 0.7436 0.4371

SG: Pnma
ΔE_f (raw) in eV per atom: -0.9114
Magnetic moment in μB per cell: 0.0


Entry 2:
First-principles (PBE) data for a relaxed Sr4SnTe5 crystal, as listed in Alexandria via LeMat-Bulk.

Unit cell a=4.7085 b=4.7085 c=17.0338 alpha=97.94 beta=97.94 gamma=90.00
Atoms (fractional coordinates):
Te1 0.6998 0.6998 0.3997
Te2 0.0979 0.0979 0.1958
Te3 0.9021 0.9021 0.8042
Te4 0.5000 0.5000 0.0000
Te5 0.3002 0.3002 0.6003
Sr1 0.1994 0.1994 0.3989
Sr2 0.4011 0.4011 0.8022
Sr3 0.5989 0.5989 0.1978
Sr4 0.8006 0.8006 0.6011
Sn1 0.0000 0.0000 0.0000

SG: I4/mmm
ΔE_f (raw) in eV per atom: -1.4403
Polymorph energy (0 for the lowest one) in kJ per mole of atoms: 0.0
Magnetic moment in μB per cell: 0.0


Entry 3:
First-principles (PBE) data for a relaxed Sr2SnTe4 crystal, as listed in Alexandria via LeMat-Bulk.

Unit cell a=5.7360 b=5.7360 c=9.2677 alpha=71.97 beta=71.97 gamma=90.00
Atoms (fractional coordinates):
Te1 0.5000 0.0000 0.0000
Te2 0.1792 0.1792 0.6416
Te3 0.0000 0.5000 0.0000
Te4 0.8208 0.8208 0.3584
Sn1 0.0000 0.0000 0.0000
Sr1 0.3714 0.3714 0.2572
Sr2 0.6286 0.6286 0.7428

SG: I4/mmm
ΔE_f (raw) in eV per atom: -0.7519
Magnetic moment in μB per cell: 0.0


Entry 4:
First-principles (PBE) data for a relaxed Sr4SnTe5 crystal, as listed in Alexandria via LeMat-Bulk.

Unit cell a=6.6810 b=8.1793 c=8.1793 alpha=80.40 beta=65.90 gamma=65.90
Atoms (fractional coordinates):
Te1 0.2960 0.8032 0.6071
Te2 0.4821 0.0000 0.0000
Te3 0.7063 0.1968 0.3929
Te4 0.0992 0.6071 0.1968
Te5 0.9031 0.3929 0.8032
Sr1 0.6002 0.6002 0.2001
Sr2 0.4005 0.3998 0.7999
Sr3 0.2004 0.2001 0.3998
Sr4 0.8003 0.7999 0.6002
Sn1 0.0221 0.0000 0.0000

SG: I4
ΔE_f (raw) in eV per atom: -1.4381
Polymorph energy (0 for the lowest one) in kJ per mole of atoms: 0.2
Magnetic moment in μB per cell: 0.0


Entry 5:
First-principles (PBE) data for a relaxed SrSnTe2 crystal, as listed in Alexandria via LeMat-Bulk.

Unit cell a=10.8616 b=10.8616 c=10.8616 alpha=21.92 beta=21.92 gamma=21.92
Atoms (fractional coordinates):
Sr1 0.5000 0.5000 0.5000
Sn1 0.0000 0.0000 0.0000
Te1 0.0964 0.0964 0.0964
Te2 0.9036 0.9036 0.9036

SG: R-3m
ΔE_f (raw) in eV per atom: -0.3842
Magnetic moment in μB per cell: 0.0


Entry 6:
First-principles (PBE) data for a relaxed Sr2SnTe crystal, as listed in Alexandria via LeMat-Bulk.

Unit cell a=8.8770 b=8.8770 c=7.3671 alpha=52.95 beta=52.95 gamma=90.00
Atoms (fractional coordinates):
Te1 0.7500 0.2500 0.5000
Te2 0.0000 0.0000 0.0000
Sr1 0.1156 0.6250 0.2500
Sr2 0.8750 0.8844 0.7500
Sr3 0.3750 0.3656 0.7500
Sr4 0.6344 0.1250 0.2500
Sn1 0.5000 0.5000 0.0000
Sn2 0.2500 0.7500 0.5000

SG: I-42d
ΔE_f (raw) in eV per atom: -0.7545
Polymorph energy (0 for the lowest one) in kJ per mole of atoms: 5.7
Magnetic moment in μB per cell: 0.0